Computed, not measured: a relaxed structure of RbCo2RuCl8 at the PBE level of DFT.

Uncorrected formation energy, eV per atom: -0.662
Size of the total moment, μB per formula unit: 4.97
Density of states at the Fermi level, states/eV per cell: 9.0
Density, g/cm³: 2.8
E_tot, eV per atom: -3.931

Unit cell a=10.546 b=10.546 c=10.546 alpha=35.54 beta=35.54 gamma=35.54
Fractional coordinates of all 12 atoms:
Rb 0.000 0.000 0.000
Co 0.241 0.241 0.241
Co 0.759 0.759 0.759
Ru 0.500 0.500 0.500
Cl 0.140 0.494 0.708
Cl 0.292 0.506 0.860
Cl 0.315 0.315 0.315
Cl 0.494 0.708 0.140
Cl 0.506 0.860 0.292
Cl 0.685 0.685 0.685
Cl 0.708 0.140 0.494
Cl 0.860 0.292 0.506

Computed, not measured: a relaxed structure of Li2TeIr at the PBE level of DFT.

Uncorrected formation energy, eV per atom: -0.214
Size of the total moment, μB per formula unit: 0.00
Density of states at the Fermi level, states/eV per cell: 2.5
Density, g/cm³: 8.4
E_tot, eV per atom: -4.172

Unit cell a=3.036 b=4.074 c=5.355 alpha=90.00 beta=90.00 gamma=90.00
Fractional coordinates of all 4 atoms:
Li 0.000 0.000 0.222
Li 0.000 0.000 0.778
Te 0.500 0.500 0.500
Ir 0.500 0.500 0.000